Computed, not measured: an optimized crystal structure of ZrGe2PbO8 at the GGA-PBE level of DFT.

Space-group type: P-3m1, No. 164
Formation energy without anion corrections: -19.1 eV/f.u.
Calculated total energy: -6.69 eV per atom
ρ: 4.78 Mg/m³

Cell: 5.6920 5.6920 7.0846 Å, 90.00 90.00 120.00°
Atoms (fractional coordinates):
Zr: 0.0000 0.0000 0.0000
Ge: 0.3333 0.6667 0.2600
Ge: 0.6667 0.3333 0.7400
Pb: 0.0000 0.0000 0.5000
O: 0.1629 0.3259 0.1895
O: 0.1629 0.8371 0.1895
O: 0.3259 0.1629 0.8105
O: 0.3333 0.6667 0.5129
O: 0.6667 0.3333 0.4871
O: 0.6741 0.8371 0.1895
O: 0.8371 0.1629 0.8105
O: 0.8371 0.6741 0.8105